Tl2ZnWF | the Alexandria database | PBE+U | relaxed; total energy = -13.923 eV per cell; Fermi-level density of states = 1.83 states/eV/f.u.; calculated density = 9186 kg/m³
1.0
5.2332 0.0000 0.0000
0.0000 5.2332 0.0000
0.0000 0.0000 4.4687
Tl Zn W F
2 1 1 1
Direct
0.0000 0.5000 0.0000
0.5000 0.0000 0.0000
0.0000 0.0000 0.5000
0.5000 0.5000 0.5000
0.0000 0.0000 0.0000